No. 1
! GGA-PBE Pm2ErPaBi4, relaxed; values from VASP
! * total energy: -5.57 eV/atom
! * density of states at the Fermi level: 7.32 states/eV/f.u.
! * formation energy: -684 meV/atom
&SYSTEM
  ibrav = 0, nat = 8, ntyp = 4
/
ATOMIC_SPECIES
Pm 145.00 Pm.upf
Er 167.26 Er.upf
Pa 231.04 Pa.upf
Bi 208.98 Bi.upf
CELL_PARAMETERS angstrom
7.820 0.000 0.000
0.000 4.512 0.000
-2.588 0.000 7.407
ATOMIC_POSITIONS crystal
Pm 0.000 0.000 0.000
Pm 0.500 0.500 0.000
Er 0.000 0.500 0.500
Pa 0.500 0.000 0.500
Bi 0.247 0.000 0.741
Bi 0.251 0.500 0.257
Bi 0.749 0.500 0.743
Bi 0.753 0.000 0.259

=====

No. 2
! GGA-PBE Er2ScPaBi4, relaxed; values from VASP
! * total energy: -5.63 eV/atom
! * density of states at the Fermi level: 7.26 states/eV/f.u.
! * formation energy: -568 meV/atom
&SYSTEM
  ibrav = 0, nat = 8, ntyp = 4
/
ATOMIC_SPECIES
Er 167.26 Er.upf
Sc 44.96 Sc.upf
Pa 231.04 Pa.upf
Bi 208.98 Bi.upf
CELL_PARAMETERS angstrom
7.637 0.000 0.000
0.000 4.409 0.000
-2.527 0.000 7.237
ATOMIC_POSITIONS crystal
Er 0.000 0.000 0.000
Er 0.500 0.500 0.000
Sc 0.000 0.500 0.500
Pa 0.500 0.000 0.500
Bi 0.241 0.000 0.743
Bi 0.242 0.500 0.250
Bi 0.758 0.500 0.750
Bi 0.759 0.000 0.257

=====

No. 3
! GGA-PBE Sr2ErPaBi4, relaxed; values from VASP
! * total energy: -4.80 eV/atom
! * formation energy: -681 meV/atom
&SYSTEM
  ibrav = 0, nat = 8, ntyp = 4
/
ATOMIC_SPECIES
Sr 87.62 Sr.upf
Er 167.26 Er.upf
Pa 231.04 Pa.upf
Bi 208.98 Bi.upf
CELL_PARAMETERS angstrom
7.927 0.000 0.000
0.000 4.635 0.000
-2.661 0.000 7.746
ATOMIC_POSITIONS crystal
Sr 0.000 0.000 0.000
Sr 0.500 0.500 0.000
Er 0.000 0.500 0.500
Pa 0.500 0.000 0.500
Bi 0.246 0.000 0.722
Bi 0.263 0.500 0.278
Bi 0.737 0.500 0.722
Bi 0.754 0.000 0.278

=====

No. 4
! GGA-PBE ErPaBiTe, relaxed; values from VASP
! * uncorrected formation energy: -563 meV per atom
! * total energy: -5.83 eV/atom
! * density of states at the Fermi level: 5.56 states/eV/f.u.
&SYSTEM
  ibrav = 0, nat = 4, ntyp = 4
/
ATOMIC_SPECIES
Er 167.26 Er.upf
Pa 231.04 Pa.upf
Bi 208.98 Bi.upf
Te 127.60 Te.upf
CELL_PARAMETERS angstrom
0.000 3.793 3.793
3.793 0.000 3.793
3.793 3.793 0.000
ATOMIC_POSITIONS crystal
Er 0.000 0.000 0.000
Pa 0.500 0.500 0.500
Bi 0.250 0.250 0.250
Te 0.750 0.750 0.750

=====

No. 5
! GGA-PBE ErTm2PaBi4, relaxed; values from VASP
! * total energy: -5.41 eV/atom
! * density of states at the Fermi level: 7.44 states/eV/f.u.
! * formation energy: -597 meV/atom
&SYSTEM
  ibrav = 0, nat = 8, ntyp = 4
/
ATOMIC_SPECIES
Er 167.26 Er.upf
Tm 168.93 Tm.upf
Pa 231.04 Pa.upf
Bi 208.98 Bi.upf
CELL_PARAMETERS angstrom
7.706 0.000 0.000
0.000 4.439 0.000
-2.542 0.000 7.278
ATOMIC_POSITIONS crystal
Er 0.000 0.000 0.000
Tm 0.500 0.000 0.500
Tm 0.500 0.500 0.000
Pa 0.000 0.500 0.500
Bi 0.252 0.500 0.250
Bi 0.255 0.000 0.754
Bi 0.745 0.000 0.246
Bi 0.748 0.500 0.750

=====

No. 6
! GGA-PBE Er3Bi2Pb, relaxed; values from VASP
! * total energy: -4.83 eV/atom
! * density of states at the Fermi level: 3.09 states/eV/f.u.
! * formation energy: -634 meV/atom
&SYSTEM
  ibrav = 0, nat = 6, ntyp = 3
/
ATOMIC_SPECIES
Er 167.26 Er.upf
Bi 208.98 Bi.upf
Pb 207.20 Pb.upf
CELL_PARAMETERS angstrom
-2.218 2.218 9.427
2.218 -2.218 9.427
2.218 2.218 -9.427
ATOMIC_POSITIONS crystal
Er 0.000 0.000 0.000
Er 0.334 0.334 0.000
Er 0.666 0.666 0.000
Bi 0.168 0.168 0.000
Bi 0.832 0.832 0.000
Pb 0.500 0.500 0.000

=====

No. 7
! GGA-PBE Er7BiPb5, relaxed; values from VASP
! * total energy: -4.46 eV/atom
! * density of states at the Fermi level: 8.70 states/eV/f.u.
! * formation energy: -281 meV/atom
&SYSTEM
  ibrav = 0, nat = 13, ntyp = 3
/
ATOMIC_SPECIES
Er 167.26 Er.upf
Bi 208.98 Bi.upf
Pb 207.20 Pb.upf
CELL_PARAMETERS angstrom
-3.179 5.728 5.297
3.179 -5.728 5.297
3.179 5.728 -5.297
ATOMIC_POSITIONS crystal
Er 0.000 0.000 0.000
Er 0.275 0.610 0.666
Er 0.392 0.392 0.000
Er 0.435 0.097 0.338
Er 0.758 0.097 0.662
Er 0.851 0.351 0.500
Er 0.944 0.610 0.334
Bi 0.680 0.680 0.000
Pb 0.097 0.107 0.494
Pb 0.097 0.603 0.990
Pb 0.350 0.850 0.500
Pb 0.613 0.107 0.010
Pb 0.613 0.603 0.506

=====

No. 8
! GGA-PBE ErBiPb2, relaxed; values from VASP
! * total energy: -4.22 eV/atom
! * density of states at the Fermi level: 2.41 states/eV/f.u.
! * formation energy: -258 meV/atom
&SYSTEM
  ibrav = 0, nat = 4, ntyp = 3
/
ATOMIC_SPECIES
Er 167.26 Er.upf
Bi 208.98 Bi.upf
Pb 207.20 Pb.upf
CELL_PARAMETERS angstrom
4.838 0.000 0.000
0.000 4.838 0.000
0.000 0.000 5.029
ATOMIC_POSITIONS crystal
Er 0.000 0.000 0.000
Bi 0.500 0.500 0.000
Pb 0.000 0.500 0.500
Pb 0.500 0.000 0.500

=====

> Which of these has the lowest total energy?

ErPaBiTe

=====

> What is the total energy in the third record?

-4.80 eV/atom

=====

> Look up the total energy of the eighth one.

-4.22 eV/atom

=====

Copy entry 6 word for word.
! GGA-PBE Er3Bi2Pb, relaxed; values from VASP
! * total energy: -4.83 eV/atom
! * density of states at the Fermi level: 3.09 states/eV/f.u.
! * formation energy: -634 meV/atom
&SYSTEM
  ibrav = 0, nat = 6, ntyp = 3
/
ATOMIC_SPECIES
Er 167.26 Er.upf
Bi 208.98 Bi.upf
Pb 207.20 Pb.upf
CELL_PARAMETERS angstrom
-2.218 2.218 9.427
2.218 -2.218 9.427
2.218 2.218 -9.427
ATOMIC_POSITIONS crystal
Er 0.000 0.000 0.000
Er 0.334 0.334 0.000
Er 0.666 0.666 0.000
Bi 0.168 0.168 0.000
Bi 0.832 0.832 0.000
Pb 0.500 0.500 0.000